Density functional theory data (PBE) for an optimized crystal structure of Cs7Au3S.

Results
E, eV/atom: -2.226
E_form (uncorrected), meV/atom: -414

a b c (Å): 8.6698 8.6698 10.0969
angles (deg): 115.18 115.18 87.59
Atoms (fractional coordinates):
Cs: 0.0000 0.0000 0.0000
Cs: 0.1879 0.8030 0.5652
Cs: 0.3130 0.3130 0.6438
Cs: 0.5240 0.9866 0.0429
Cs: 0.5281 0.5281 0.2681
Cs: 0.8030 0.1879 0.5652
Cs: 0.9866 0.5240 0.0429
Au: 0.3473 0.9153 0.3117
Au: 0.6315 0.6315 0.7189
Au: 0.9153 0.3473 0.3117
S: 0.1986 0.1986 0.8795